DFT (PBE) results for a geometry-optimized Ce2TeRu structure.

For the uncorrected energy, the calculation gives -6.805 eV/atom. For the density of states at the Fermi level, the calculation gives 2.162 states/eV/atom. The energy above the most stable polymorph in this dataset is 45.2 meV per atom.

The structure belongs to space group Pmmn (No. 59, origin choice 2); the cell edges are 4.040, 5.054 and 10.733 Å and the angles 90.00°, 90.00° and 90.00°. The inequivalent atoms are Ce at (0.250, 0.250, 0.074), Ce at (0.250, 0.250, 0.675), Te at (0.250, 0.250, 0.374) and Ru at (0.250, 0.750, 0.122).



DFT (PBE) results for a geometry-optimized Ce2TeRu structure.

For the uncorrected energy, the calculation gives -6.850 eV/atom. For the density of states at the Fermi level, the calculation gives 2.016 states/eV/atom. The energy above the most stable polymorph in this dataset is 0.0 meV per atom.

The structure belongs to space group R-3m (No. 166, hexagonal axes); the cell edges are 4.1032, 4.1032 and 22.2849 Å and the angles 90.00°, 90.00° and 120.00°. The inequivalent atoms are Ce at (0.0000, 0.0000, 0.2352), Te at (0.0000, 0.0000, 0.0000) and Ru at (0.0000, 0.0000, 0.5000).



DFT (PBE) results for a geometry-optimized Ce6TeRu2 structure.

For the uncorrected energy, the calculation gives -6.719 eV/atom. For the density of states at the Fermi level, the calculation gives 2.430 states/eV/atom.

The structure belongs to space group C2/c (No. 15); the cell edges are 15.720, 9.449 and 6.401 Å and the angles 90.00°, 105.82° and 90.00°. The inequivalent atoms are Ce at (0.079, 0.036, 0.440), Ce at (0.084, 0.405, 0.206), Ce at (0.206, 0.284, 0.737), Te at (0.000, 0.271, 0.750) and Ru at (0.249, 0.009, 0.890).



DFT (PBE) results for a geometry-optimized Ce8TeRu2 structure.

For the uncorrected energy, the calculation gives -6.584 eV/atom. For the density of states at the Fermi level, the calculation gives 2.660 states/eV/atom.

The structure belongs to space group C2/m (No. 12); the cell edges are 8.393, 13.673 and 5.083 Å and the angles 90.00°, 103.31° and 90.00°. The inequivalent atoms are Ce at (0.000, 0.249, 0.000), Ce at (0.088, 0.000, 0.799), Ce at (0.185, 0.391, 0.565), Te at (0.000, 0.500, 0.000) and Ru at (0.000, 0.199, 0.500).



DFT (PBE) results for a geometry-optimized Ce2TeRu structure.

For the uncorrected energy, the calculation gives -6.724 eV/atom. For the density of states at the Fermi level, the calculation gives 2.289 states/eV/atom. The energy above the most stable polymorph in this dataset is 125.6 meV per atom.

The structure belongs to space group P4/mmm (No. 123); the cell edges are 3.612, 3.612 and 7.482 Å and the angles 90.00°, 90.00° and 90.00°. The inequivalent atoms are Ce at (0.000, 0.000, 0.217), Te at (0.500, 0.500, 0.500) and Ru at (0.500, 0.500, 0.000).



DFT (PBE) results for a geometry-optimized Ce2TeRu structure.

For the uncorrected energy, the calculation gives -6.809 eV/atom. For the density of states at the Fermi level, the calculation gives 2.153 states/eV/atom. The energy above the most stable polymorph in this dataset is 41.1 meV per atom.

The structure belongs to space group R3m (No. 160, hexagonal axes); the cell edges are 4.0775, 4.0775 and 22.7474 Å and the angles 90.00°, 90.00° and 120.00°. The inequivalent atoms are Ce at (0.0000, 0.0000, 0.0000), Ce at (0.0000, 0.0000, 0.1979), Te at (0.0000, 0.0000, 0.4321) and Ru at (0.0000, 0.0000, 0.6021).